GGA-PBE RbCrSi2, optimized geometry; DOS at the Fermi energy = 10.78 states/eV/cell; raw formation energy = 1.356 eV/atom; energy relative to the lowest polymorph listed for this composition = 922 meV per atom
1.0
0.000 3.364 3.364
3.364 0.000 3.364
3.364 3.364 0.000
Rb Cr Si
1 1 2
direct
0.000 0.000 0.000 Rb
0.500 0.500 0.500 Cr
0.250 0.250 0.250 Si
0.750 0.750 0.750 Si

=====

GGA-PBE LaScV2Pt, optimized geometry; DOS at the Fermi energy = 7.27 states/eV/cell; final energy = -33.85 eV/cell
1.0
4.842 0.000 0.000
0.000 4.842 0.000
0.000 0.000 4.991
La Sc V Pt
1 1 2 1
direct
0.000 0.000 0.000 La
0.500 0.500 0.000 Sc
0.000 0.500 0.500 V
0.500 0.000 0.500 V
0.500 0.500 0.500 Pt

=====

GGA-PBE KNiI, optimized geometry; DOS at the Fermi energy = 3.49 states/eV/cell; raw formation energy = -0.286 eV/atom; energy relative to the lowest polymorph listed for this composition = 34 meV per atom
1.0
4.463 0.000 0.000
0.000 5.060 0.000
-2.222 -0.004 8.679
K Ni I
2 2 2
direct
0.000 0.000 0.000 K
0.250 0.999 0.501 K
0.119 0.501 0.237 Ni
0.545 0.501 0.089 Ni
0.404 0.500 0.808 I
0.683 0.499 0.365 I

=====

GGA-PBE HfPt, optimized geometry; DOS at the Fermi energy = 2.61 states/eV/cell; final energy = -34.17 eV/cell
1.0
4.581 0.000 0.000
-2.291 3.967 0.000
0.000 0.000 5.390
Hf Pt
2 2
direct
0.333 0.667 0.250 Hf
0.667 0.333 0.750 Hf
0.333 0.667 0.750 Pt
0.667 0.333 0.250 Pt

=====

Among the records above, which one has the lowest DOS at the Fermi energy?
HfPt